#w
Here is a relaxed Tm2Sb2O7 crystal from the Alexandria database. Energies are from PBE.

Computed properties:
Magnetic moment ... 0.0 Bohr magnetons per cell

Cell lengths 10.679, 7.586, 7.590 Å; angles 90.00, 90.00, 90.00 degrees
Space group Ima2 (No. 46)
Inequivalent atoms, fractional coordinates:
1 Tm 0.000 0.000 0.000 x4
2 Tm 0.250 0.198 0.243 x4
3 Sb 0.000 0.000 0.534 x4
4 Sb 0.250 0.746 0.738 x4
5 O 0.114 0.571 0.260 x8
6 O 0.117 0.248 0.510 x8
7 O 0.130 0.548 0.714 x8
8 O 0.250 0.691 0.989 x4

#x
Here is a relaxed Tm2Sb2O7 crystal from the Alexandria database. Energies are from PBE.

Computed properties:
Magnetic moment ... 0.0 Bohr magnetons per cell

Cell lengths 7.4930, 7.4930, 18.3530 Å; angles 90.00, 90.00, 120.00 degrees
Space group P3_121 (No. 152)
Inequivalent atoms, fractional coordinates:
1 Tm 0.0000 0.8302 0.1667 x3
2 Tm 0.0000 0.8362 0.6667 x3
3 Tm 0.1781 0.6815 0.0109 x6
4 Sb 0.0000 0.3059 0.6667 x3
5 Sb 0.0000 0.3187 0.1667 x3
6 Sb 0.1672 0.6671 0.5004 x6
7 O 0.0086 0.3311 0.2902 x6
8 O 0.0113 0.8144 0.5280 x6
9 O 0.0199 0.8546 0.2838 x6
10 O 0.0580 0.4499 0.8037 x6
11 O 0.1056 0.6570 0.3927 x6
12 O 0.2008 0.6899 0.1373 x6
13 O 0.2376 0.6958 0.6058 x6

Relative to the most stable structure, the computed energies are #w 0.035; #x 0.000, all in eV/atom.